Material: BaRh2Pb
Method: DFT, PBE
State: relaxed

Structure (CIF):
```
data_BaRh2Pb
_chemical_formula_sum 'Ba1 Rh2 Pb1'
_symmetry_space_group_name_H-M 'P 1'
_symmetry_Int_Tables_number 1
_cell_length_a 5.845
_cell_length_b 5.845
_cell_length_c 4.297
_cell_angle_alpha 90.00
_cell_angle_beta 90.00
_cell_angle_gamma 138.47
loop_
_symmetry_equiv_pos_as_xyz
'x,y,z'
loop_
_atom_site_label
_atom_site_type_symbol
_atom_site_fract_x
_atom_site_fract_y
_atom_site_fract_z
Ba1 Ba 0.472 0.528 0.000
Rh1 Rh 0.200 0.800 0.000
Rh2 Rh 0.068 0.932 0.500
Pb1 Pb 0.759 0.241 0.500
```

Values from the calculation:
* total DFT energy (no corrections): -5.14 eV per atom
* E_form: -0.24 eV per formula unit